Entry 1:
A plane-wave DFT calculation with GGA-PBE was carried out for Na3MgTl3Cl8 after structural relaxation.

Calculated values
E, eV per atom: -3.32
Formation energy from raw total energies, meV/atom: -1490

Lattice parameters (Å, degrees): 8.2291 8.2309 8.8219 117.85 90.00 119.99
Fractional coordinates of all 15 atoms:
Cl 0.2137 0.9789 0.6924
Cl 0.2634 0.5268 0.2908
Cl 0.7366 0.4732 0.7092
Cl 0.7863 0.0211 0.3076
Cl 0.2348 0.0211 0.3076
Cl 0.7652 0.9789 0.6924
Cl 0.7863 0.5727 0.3076
Cl 0.2137 0.4273 0.6924
Tl 0.0000 0.5000 0.0000
Tl 0.0000 0.0000 0.0000
Tl 0.5000 0.5000 0.0000
Na 0.0000 0.5000 0.5000
Na 0.5000 0.5000 0.5000
Na 0.5000 0.0000 0.5000
Mg 0.0000 0.0000 0.5000

Entry 2:
A plane-wave DFT calculation with GGA-PBE was carried out for NaMgTlCl6 after structural relaxation.

Calculated values
E, eV per atom: -3.14
Formation energy from raw total energies, meV/atom: -1317

Lattice parameters (Å, degrees): 6.6269 6.6269 12.5537 90.00 90.00 120.00
Fractional coordinates of all 18 atoms:
Mg 0.3333 0.6667 0.7500
Mg 0.6667 0.3333 0.2500
Cl 0.6346 0.9872 0.8664
Cl 0.9872 0.6346 0.3664
Cl 0.6474 0.6346 0.1336
Cl 0.3526 0.9872 0.6336
Cl 0.3654 0.0128 0.1336
Cl 0.3654 0.3526 0.3664
Cl 0.9872 0.3526 0.1336
Cl 0.0128 0.6474 0.8664
Cl 0.6346 0.6474 0.6336
Cl 0.6474 0.0128 0.3664
Cl 0.3526 0.3654 0.8664
Cl 0.0128 0.3654 0.6336
Tl 0.6667 0.3333 0.7500
Tl 0.3333 0.6667 0.2500
Na 0.0000 0.0000 0.5000
Na 0.0000 0.0000 0.0000

Entry 3:
A plane-wave DFT calculation with GGA-PBE was carried out for NaMgTlCl4 after structural relaxation.

Calculated values
E, eV per atom: -3.38
Formation energy from raw total energies, meV/atom: -1566

Lattice parameters (Å, degrees): 7.0373 7.2501 8.5338 90.00 106.39 90.00
Fractional coordinates of all 14 atoms:
Na 0.2114 0.2500 0.5531
Na 0.7886 0.7500 0.4469
Cl 0.0223 0.5049 0.2847
Cl 0.9777 0.4951 0.7153
Cl 0.0223 0.9951 0.2847
Cl 0.9777 0.0049 0.7153
Cl 0.5286 0.2500 0.4074
Cl 0.5505 0.2500 0.8481
Cl 0.4714 0.7500 0.5926
Cl 0.4495 0.7500 0.1519
Mg 0.2523 0.7500 0.3312
Mg 0.7477 0.2500 0.6688
Tl 0.2434 0.2500 0.0598
Tl 0.7566 0.7500 0.9402

Entry 4:
A plane-wave DFT calculation with GGA-PBE was carried out for NaTmMgCl6 after structural relaxation.

Calculated values
E, eV per atom: -4.09
Formation energy from raw total energies, meV/atom: -2043

Lattice parameters (Å, degrees): 6.6309 6.6309 12.5355 90.00 90.00 120.00
Fractional coordinates of all 18 atoms:
Cl 0.3639 0.3543 0.8652
Cl 0.3543 0.3639 0.3652
Cl 0.3543 0.9904 0.1348
Cl 0.9904 0.6361 0.8652
Cl 0.6361 0.6457 0.1348
Cl 0.3639 0.0096 0.6348
Cl 0.6361 0.9904 0.3652
Cl 0.6457 0.6361 0.6348
Cl 0.9904 0.3543 0.6348
Cl 0.6457 0.0096 0.8652
Cl 0.0096 0.3639 0.1348
Cl 0.0096 0.6457 0.3652
Na 0.0000 0.0000 0.5000
Na 0.0000 0.0000 0.0000
Tm 0.6667 0.3333 0.2500
Tm 0.3333 0.6667 0.7500
Mg 0.6667 0.3333 0.7500
Mg 0.3333 0.6667 0.2500

Entry 5:
A plane-wave DFT calculation with GGA-PBE was carried out for NaMgUCl6 after structural relaxation.

Calculated values
E, eV per atom: -4.56
Formation energy from raw total energies, meV/atom: -1746

Lattice parameters (Å, degrees): 6.8346 6.8346 12.4592 90.00 90.00 120.00
Last column: magnetic moment on the atom in μB.
Fractional coordinates of all 18 atoms:
Cl 0.9742 0.3410 0.1328  -0.01
Cl 0.6590 0.0258 0.3672  -0.01
Cl 0.0258 0.3668 0.6328  -0.01
Cl 0.6332 0.6590 0.6328  -0.01
Cl 0.3410 0.3668 0.8672  -0.01
Cl 0.0258 0.6590 0.8672  -0.01
Cl 0.6590 0.6332 0.1328  -0.01
Cl 0.3410 0.9742 0.6328  -0.01
Cl 0.9742 0.6332 0.3672  -0.01
Cl 0.6332 0.9742 0.8672  -0.01
Cl 0.3668 0.3410 0.3672  -0.01
Cl 0.3668 0.0258 0.1328  -0.01
U 0.6667 0.3333 0.7500  2.91
U 0.3333 0.6667 0.2500  2.91
Mg 0.6667 0.3333 0.2500  0.00
Mg 0.3333 0.6667 0.7500  0.00
Na 0.0000 0.0000 0.5000  0.00
Na 0.0000 0.0000 0.0000  0.00

Entry 6:
A plane-wave DFT calculation with GGA-PBE was carried out for Na2MgVCl6 after structural relaxation.

Calculated values
E, eV per atom: -4.03
Formation energy from raw total energies, meV/atom: -1585

Lattice parameters (Å, degrees): 6.5817 6.9160 9.5681 90.00 89.77 90.00
Last column: magnetic moment on the atom in μB.
Fractional coordinates of all 20 atoms:
Cl 0.6912 0.3065 0.5596  -0.01
Cl 0.3815 0.9665 0.7521  -0.01
Cl 0.8815 0.5335 0.2521  -0.01
Cl 0.6185 0.0335 0.2479  -0.01
Cl 0.3119 0.6958 0.0593  -0.01
Cl 0.1912 0.1935 0.0596  -0.01
Cl 0.3088 0.6935 0.4404  -0.01
Cl 0.1185 0.4665 0.7479  -0.01
Cl 0.8088 0.8065 0.9404  -0.01
Cl 0.6881 0.3042 0.9407  -0.01
Cl 0.8119 0.8042 0.5593  -0.01
Cl 0.1881 0.1958 0.4407  -0.01
Na 0.4720 0.4188 0.2494  0.00
Na 0.9720 0.0812 0.7494  0.00
Na 0.0280 0.9188 0.2506  0.00
Na 0.5280 0.5812 0.7506  0.00
Mg 0.0000 0.5000 0.0000  0.00
Mg 0.5000 0.0000 0.5000  0.00
V 0.5000 0.0000 0.0000  2.60
V 0.0000 0.5000 0.5000  2.60

Entry 7:
A plane-wave DFT calculation with GGA-PBE was carried out for NaMg2WCl after structural relaxation.

Calculated values
E, eV per atom: -3.06
Formation energy from raw total energies, meV/atom: 799

Lattice parameters (Å, degrees): 5.0186 5.0186 4.7420 90.00 90.00 90.00
Last column: magnetic moment on the atom in μB.
Fractional coordinates of all 5 atoms:
Mg 0.0000 0.5000 0.0000  -0.02
Mg 0.5000 0.0000 0.0000  -0.02
Na 0.0000 0.0000 0.5000  0.00
W 0.5000 0.5000 0.5000  2.57
Cl 0.0000 0.0000 0.0000  0.01

Entry 8:
A plane-wave DFT calculation with GGA-PBE was carried out for NaYMgCl6 after structural relaxation.

Calculated values
E, eV per atom: -4.31
Formation energy from raw total energies, meV/atom: -2038

Lattice parameters (Å, degrees): 6.6884 6.6884 12.5130 90.00 90.00 120.00
Fractional coordinates of all 18 atoms:
Y 0.6667 0.3333 0.2500
Y 0.3333 0.6667 0.7500
Cl 0.6349 0.6492 0.1340
Cl 0.3508 0.9857 0.1340
Cl 0.3651 0.0143 0.6340
Cl 0.6492 0.0143 0.8660
Cl 0.9857 0.3508 0.6340
Cl 0.3508 0.3651 0.3660
Cl 0.6349 0.9857 0.3660
Cl 0.0143 0.6492 0.3660
Cl 0.3651 0.3508 0.8660
Cl 0.6492 0.6349 0.6340
Cl 0.9857 0.6349 0.8660
Cl 0.0143 0.3651 0.1340
Mg 0.3333 0.6667 0.2500
Mg 0.6667 0.3333 0.7500
Na 0.0000 0.0000 0.5000
Na 0.0000 0.0000 0.0000

Entry 9:
A plane-wave DFT calculation with GGA-PBE was carried out for Na2MgZnCl6 after structural relaxation.

Calculated values
E, eV per atom: -3.22
Formation energy from raw total energies, meV/atom: -1559

Lattice parameters (Å, degrees): 6.7270 6.7246 6.9663 61.13 61.11 59.99
Fractional coordinates of all 10 atoms:
Na 0.0301 0.0304 0.9093
Na 0.5283 0.5284 0.4150
Cl 0.0865 0.4645 0.7684
Cl 0.6806 0.0867 0.7684
Cl 0.1844 0.9677 0.2649
Cl 0.4642 0.6805 0.7685
Cl 0.5830 0.1843 0.2652
Cl 0.9677 0.5828 0.2651
Zn 0.3178 0.3173 0.0478
Mg 0.8191 0.8190 0.5424

Entry 10:
A plane-wave DFT calculation with GGA-PBE was carried out for NaMgZr2Cl after structural relaxation.

Calculated values
E, eV per atom: -3.39
Formation energy from raw total energies, meV/atom: 983

Lattice parameters (Å, degrees): 5.2558 5.6829 5.2558 90.00 90.00 90.00
Last column: magnetic moment on the atom in μB.
Fractional coordinates of all 5 atoms:
Mg 0.0000 0.0000 0.0000  0.00
Zr 0.5000 0.0000 0.0000  0.49
Zr 0.0000 0.0000 0.5000  0.48
Na 0.0000 0.5000 0.0000  0.00
Cl 0.5000 0.5000 0.5000  0.00

Entry 11:
A plane-wave DFT calculation with GGA-PBE was carried out for MgNbCl3 after structural relaxation.

Calculated values
E, eV per atom: -3.83
Formation energy from raw total energies, meV/atom: -386

Lattice parameters (Å, degrees): 4.8913 4.8913 4.8913 90.00 90.00 90.00
Last column: magnetic moment on the atom in μB.
Fractional coordinates of all 5 atoms:
Cl 0.0000 0.5000 0.0000  0.00
Cl 0.0000 0.0000 0.5000  0.00
Cl 0.5000 0.0000 0.0000  0.00
Mg 0.0000 0.0000 0.0000  0.00
Nb 0.5000 0.5000 0.5000  3.10